[1]
Below is a relaxed structure of Th2Al4Ag3Au, with properties calculated at the PBE level.

Output
Energy of formation, eV per atom: -0.383
E, eV per atom: -4.547
Total moment, μB/cell: 0.00

Lattice parameters (Å, degrees): 4.424 4.424 10.570 90.00 90.00 90.00
Space group P-4m2 (No. 115)
Inequivalent atoms, fractional coordinates:
Th  0.000  0.500  0.249 [2 per cell]
Al  0.000  0.000  0.500 [1 per cell]
Al  0.000  0.500  0.867 [2 per cell]
Al  0.500  0.500  0.500 [1 per cell]
Ag  0.000  0.000  0.000 [1 per cell]
Ag  0.000  0.500  0.629 [2 per cell]
Au  0.500  0.500  0.000 [1 per cell]


[2]
Below is a relaxed structure of SmPa2S5, with properties calculated at the PBE level.

Output
E, eV per atom: -7.279
Polymorph energy (0 for the lowest one), kJ/mol of formula units: 0.0
Formation energy from raw total energies, eV per atom: -1.7353
Total moment, μB/cell: 9.24

Lattice parameters (Å, degrees): 12.045 7.836 7.379 90.00 90.00 90.00
Space group Pnma (No. 62)
Inequivalent atoms, fractional coordinates:
Sm  0.004  0.250  0.081 [4 per cell]
Pa  0.180  0.000  0.512 [8 per cell]
S  0.001  0.250  0.471 [4 per cell]
S  0.109  0.543  0.162 [8 per cell]
S  0.185  0.250  0.820 [4 per cell]
S  0.216  0.750  0.792 [4 per cell]


[3]
Below is a relaxed structure of AcGdErSc, with properties calculated at the PBE level.

Output
Energy of formation, eV per atom: 0.108
E, eV per atom: -7.163
Total moment, μB/cell: 30.06

Lattice parameters (Å, degrees): 8.063 8.063 8.063 90.00 90.00 90.00
Space group F-43m (No. 216)
Inequivalent atoms, fractional coordinates:
Ac  0.000  0.000  0.000 [4 per cell]
Gd  0.000  0.000  0.500 [4 per cell]
Er  0.250  0.250  0.250 [4 per cell]
Sc  0.250  0.250  0.750 [4 per cell]


[4]
Below is a relaxed structure of LaTbPrNd3, with properties calculated at the PBE level.

Output
Energy of formation, eV per atom: 0.152
E, eV per atom: -4.621
Total moment, μB/cell: 0.00

Lattice parameters (Å, degrees): 20.768 5.861 6.971 90.00 90.79 90.00
Space group C2/m (No. 12)
Inequivalent atoms, fractional coordinates:
La  0.146  0.000  0.026 [4 per cell]
Tb  0.146  0.000  0.473 [4 per cell]
Pr  0.056  0.500  0.262 [4 per cell]
Nd  0.019  0.000  0.747 [4 per cell]
Nd  0.163  0.500  0.740 [4 per cell]
Nd  0.220  0.500  0.255 [4 per cell]


[5]
Below is a relaxed structure of RuBrO3, with properties calculated at the PBE level.

Output
E, eV per atom: -4.068
Formation energy from raw total energies, eV per atom: 1.0969
Total moment, μB/cell: 3.82

Lattice parameters (Å, degrees): 3.993 3.993 3.993 90.00 90.00 90.00
Space group Pm-3m (No. 221)
Inequivalent atoms, fractional coordinates:
Ru  0.000  0.000  0.000 [1 per cell]
Br  0.500  0.500  0.500 [1 per cell]
O  0.000  0.500  0.500 [3 per cell]


[6]
Below is a relaxed structure of IrRh3, with properties calculated at the PBE level.

Output
Energy of formation, eV per atom: 0.051
E, eV per atom: -7.678
Total moment, μB/cell: 0.00

Lattice parameters (Å, degrees): 4.427 5.472 4.725 90.00 90.00 90.00
Space group Pmmn (No. 59, origin choice 2)
Inequivalent atoms, fractional coordinates:
Ir  0.250  0.250  0.169 [2 per cell]
Rh  0.250  0.001  0.666 [4 per cell]
Rh  0.250  0.750  0.162 [2 per cell]


[7]
Below is a relaxed structure of ReINO2, with properties calculated at the PBE level.

Output
E, eV per atom: -6.428
Formation energy from raw total energies, eV per atom: 0.0205
Total moment, μB/cell: 0.00

Lattice parameters (Å, degrees): 3.840 3.840 4.476 90.00 90.00 90.00
Space group P4/mmm (No. 123)
Inequivalent atoms, fractional coordinates:
Re  0.000  0.000  0.000 [1 per cell]
I  0.500  0.500  0.500 [1 per cell]
N  0.000  0.000  0.500 [1 per cell]
O  0.000  0.500  0.000 [2 per cell]


[8]
Below is a relaxed structure of Tm2TiZnO6, with properties calculated at the PBE level.

Output
E, eV per atom: -7.629
Formation energy from raw total energies, eV per atom: -2.8430
Total moment, μB/cell: 0.00

Lattice parameters (Å, degrees): 5.137 5.137 4.980 90.00 90.00 90.00
Space group P4mm (No. 99)
Inequivalent atoms, fractional coordinates:
Tm  0.000  0.500  0.000 [2 per cell]
Ti  0.000  0.000  0.602 [1 per cell]
Zn  0.500  0.500  0.566 [1 per cell]
O  0.000  0.000  0.233 [1 per cell]
O  0.243  0.243  0.750 [4 per cell]
O  0.500  0.500  0.184 [1 per cell]


[9]
Below is a relaxed structure of K3Pd5Cl12, with properties calculated at the PBE level.

Output
E, eV per atom: -3.350
Formation energy from raw total energies, eV per atom: -0.7796
Total moment, μB/cell: 9.09

Lattice parameters (Å, degrees): 16.242 16.242 16.242 90.00 90.00 90.00
Space group Ia-3d (No. 230)
Inequivalent atoms, fractional coordinates:
K  0.000  0.250  0.125 [24 per cell]
Pd  0.000  0.000  0.000 [16 per cell]
Pd  0.000  0.250  0.375 [24 per cell]
Cl  0.032  0.044  0.641 [96 per cell]


[10]
Below is a relaxed structure of Na2AlCdTe4, with properties calculated at the PBE level.

Output
E, eV per atom: -3.022
Formation energy from raw total energies, eV per atom: -0.5395
Total moment, μB/cell: 0.00

Lattice parameters (Å, degrees): 8.038 8.038 7.380 90.00 90.00 90.00
Space group I-42m (No. 121)
Inequivalent atoms, fractional coordinates:
Na  0.000  0.500  0.000 [4 per cell]
Al  0.000  0.000  0.000 [2 per cell]
Cd  0.000  0.000  0.500 [2 per cell]
Te  0.182  0.182  0.773 [8 per cell]


[11]
Below is a relaxed structure of LaSb2, with properties calculated at the PBE level.

Output
E, eV per atom: -4.817
Formation energy from raw total energies, eV per atom: -0.4266
Total moment, μB/cell: 0.00

Lattice parameters (Å, degrees): 7.741 7.741 7.741 90.00 90.00 90.00
Space group Pa-3 (No. 205)
Inequivalent atoms, fractional coordinates:
La  0.000  0.000  0.000 [4 per cell]
Sb  0.104  0.604  0.896 [8 per cell]


[12]
Below is a relaxed structure of NdCuRu, with properties calculated at the PBE level.

Output
Energy of formation, eV per atom: -0.024
E, eV per atom: -6.071
Polymorph energy (0 for the lowest one), kJ/mol of formula units: 46.1
Total moment, μB/cell: 0.00

Lattice parameters (Å, degrees): 4.2235 4.2235 3.9519 90.00 90.00 120.00
Space group P-6m2 (No. 187)
Inequivalent atoms, fractional coordinates:
Nd  0.0000  0.0000  0.0000 [1 per cell]
Cu  0.6667  0.3333  0.5000 [1 per cell]
Ru  0.3333  0.6667  0.5000 [1 per cell]


[13]
Below is a relaxed structure of Tl3HgBi2Se6, with properties calculated at the PBE level.

Output
E, eV per atom: -3.343
Formation energy from raw total energies, eV per atom: -0.3374
Total moment, μB/cell: 0.00

Lattice parameters (Å, degrees): 7.399 12.861 7.750 90.00 108.50 90.00
Space group C2/m (No. 12)
Inequivalent atoms, fractional coordinates:
Tl  0.000  0.000  0.000 [2 per cell]
Tl  0.000  0.330  0.000 [4 per cell]
Hg  0.000  0.500  0.500 [2 per cell]
Bi  0.000  0.166  0.500 [4 per cell]
Se  0.238  0.335  0.722 [8 per cell]
Se  0.246  0.000  0.721 [4 per cell]


[14]
Below is a relaxed structure of Re4Tc3Ru2, with properties calculated at the PBE level.

Output
Energy of formation, eV per atom: 0.191
E, eV per atom: -10.858
Polymorph energy (0 for the lowest one), kJ/mol of formula units: 26.9
Total moment, μB/cell: 0.00

Lattice parameters (Å, degrees): 12.899 9.095 4.670 90.00 98.24 90.00
Space group C2/c (No. 15)
Inequivalent atoms, fractional coordinates:
Re  0.057  0.122  0.050 [8 per cell]
Re  0.216  0.357  0.845 [8 per cell]
Tc  0.000  0.347  0.750 [4 per cell]
Tc  0.173  0.111  0.560 [8 per cell]
Ru  0.107  0.401  0.309 [8 per cell]


[15]
Below is a relaxed structure of GaAgSnPb, with properties calculated at the PBE level.

Output
Energy of formation, eV per atom: 0.085
E, eV per atom: -3.313
Total moment, μB/cell: 0.00

Lattice parameters (Å, degrees): 7.270 7.270 7.270 90.00 90.00 90.00
Space group F-43m (No. 216)
Inequivalent atoms, fractional coordinates:
Ga  0.000  0.000  0.000 [4 per cell]
Ag  0.000  0.000  0.500 [4 per cell]
Sn  0.250  0.250  0.250 [4 per cell]
Pb  0.250  0.250  0.750 [4 per cell]


[16]
Below is a relaxed structure of Y2ZrRe, with properties calculated at the PBE level.

Output
Energy of formation, eV per atom: 0.640
E, eV per atom: -7.841
Polymorph energy (0 for the lowest one), kJ/mol of formula units: 234.9
Total moment, μB/cell: 0.00

Lattice parameters (Å, degrees): 8.910 8.910 5.541 90.00 90.00 90.00
Space group I-42d (No. 122)
Inequivalent atoms, fractional coordinates:
Y  0.162  0.250  0.125 [8 per cell]
Zr  0.000  0.000  0.500 [4 per cell]
Re  0.000  0.000  0.000 [4 per cell]


[17]
Below is a relaxed structure of PmPrNiRu, with properties calculated at the PBE level.

Output
Energy of formation, eV per atom: -0.236
E, eV per atom: -6.382
Polymorph energy (0 for the lowest one), kJ/mol of formula units: 0.0
Total moment, μB/cell: 0.00

Lattice parameters (Å, degrees): 4.100 4.076 10.894 90.00 90.00 90.00
Space group Amm2 (No. 38)
Inequivalent atoms, fractional coordinates:
Pm  0.000  0.000  0.000 [2 per cell]
Pr  0.500  0.000  0.285 [2 per cell]
Ni  0.000  0.000  0.706 [2 per cell]
Ru  0.500  0.000  0.571 [2 per cell]


[18]
Below is a relaxed structure of Ba2AlTe, with properties calculated at the PBE level.

Output
E, eV per atom: -3.276
Polymorph energy (0 for the lowest one), kJ/mol of formula units: 53.0
Formation energy from raw total energies, eV per atom: -0.5939
Total moment, μB/cell: 0.00

Lattice parameters (Å, degrees): 5.566 5.566 9.596 90.00 90.00 90.00
Space group I4/mmm (No. 139)
Inequivalent atoms, fractional coordinates:
Ba  0.000  0.500  0.250 [4 per cell]
Al  0.000  0.000  0.000 [2 per cell]
Te  0.000  0.000  0.500 [2 per cell]


[19]
Below is a relaxed structure of Hf2BeFe2Co5, with properties calculated at the PBE level.

Output
Energy of formation, eV per atom: -0.065
E, eV per atom: -7.674
Total moment, μB/cell: 17.15

Lattice parameters (Å, degrees): 8.496 8.496 3.570 90.00 90.00 90.00
Space group P4/mbm (No. 127)
Inequivalent atoms, fractional coordinates:
Hf  0.178  0.322  0.000 [4 per cell]
Be  0.000  0.000  0.000 [2 per cell]
Fe  0.123  0.623  0.000 [4 per cell]
Co  0.000  0.500  0.500 [2 per cell]
Co  0.056  0.804  0.500 [8 per cell]